Here is a relaxed structure of NaTl2Pd4 from Alexandria via LeMat-Bulk. Energies are from GGA-PBE.

D(E_F): 0.380 states/eV per atom
Relative energy among the computed polymorphs: 14.70 kcal/mol of atoms
V: 152.2 Å³/cell
Total magnetic moment: 0.00 μB per cell
SG: I4/mmm (139)
Formation enthalpy at 0 K: 0.44 eV/atom
Final energy: -23.7 eV per cell

a = 7.7285 Å, b = 7.7285 Å, c = 7.7285 Å
α = 144.85°, β = 144.85°, γ = 50.55°
Last column: nearest neighbours and their distance in Å.
Atoms (fractional coordinates):
Na (0.0000, 0.0000, 0.0000)  6 Pd 2.33-2.55
Tl (0.3722, 0.3722, 0.0000)  5 Pd 2.66-2.94
Tl (0.6278, 0.6278, 0.0000)  5 Pd 2.66-2.94
Pd (0.0000, 0.5000, 0.5000)  2 Na 2.33
Pd (0.1822, 0.1822, 0.0000)  1 Na 2.55, 1 Tl 2.66
Pd (0.5000, 0.0000, 0.5000)  2 Na 2.33
Pd (0.8178, 0.8178, 0.0000)  1 Na 2.55, 1 Tl 2.66